[1]
Here is a relaxed structure of TiSbIr2Ru from Alexandria. Energies are from PBE.

Cell lengths 4.803, 4.803, 4.507 Å; angles 90.00, 90.00, 90.00 degrees
Atoms (fractional coordinates):
Ti (0.000, 0.000, 0.000)
Sb (0.500, 0.500, 0.000)
Ir (0.000, 0.500, 0.500)
Ir (0.500, 0.000, 0.500)
Ru (0.000, 0.000, 0.500)

- formation energy without anion corrections (eV per formula unit) = 4.9
- crystal system = tetragonal

---

[2]
Here is a relaxed structure of ZnCd from Alexandria. Energies are from PBE.

Cell lengths 3.066, 3.068, 8.384 Å; angles 99.72, 91.82, 90.11 degrees
Atoms (fractional coordinates):
Zn (0.245, 0.204, 0.404)
Zn (0.755, 0.796, 0.596)
Cd (0.253, 0.405, 0.841)
Cd (0.747, 0.595, 0.159)

- calculated formation energy (eV per atom) = 0.05
- crystal system = triclinic

---

[3]
Here is a relaxed structure of CaAl2Ni5 from Alexandria. Energies are from PBE.

Cell lengths 6.091, 6.091, 6.091 Å; angles 145.14, 114.39, 76.49 degrees
Atoms (fractional coordinates):
Ca (0.000, 0.000, 0.000)
Al (0.258, 0.758, 0.500)
Al (0.742, 0.242, 0.500)
Ni (0.176, 0.364, 0.812)
Ni (0.448, 0.636, 0.812)
Ni (0.500, 0.000, 0.500)
Ni (0.552, 0.364, 0.188)
Ni (0.824, 0.636, 0.188)

- calculated formation energy (eV per atom) = -0.28
- crystal system = orthorhombic

---

[4]
Here is a relaxed structure of BaCaBi from Alexandria. Energies are from PBE.

Cell lengths 7.210, 7.210, 8.935 Å; angles 118.55, 118.55, 39.94 degrees
Atoms (fractional coordinates):
Ba (0.066, 0.066, 0.347)
Ba (0.934, 0.934, 0.653)
Ca (0.330, 0.330, 0.932)
Ca (0.670, 0.670, 0.068)
Bi (0.326, 0.326, 0.297)
Bi (0.674, 0.674, 0.703)

- calculated formation energy (eV per atom) = -0.73
- crystal system = monoclinic
- relative energy among the computed polymorphs (meV per atom) = 114

---

[5]
Here is a relaxed structure of MnAsIr2 from Alexandria. Energies are from PBE.

Cell lengths 8.340, 8.340, 8.340 Å; angles 20.04, 20.04, 20.04 degrees
Atoms (fractional coordinates):
Mn (0.000, 0.000, 0.000)
As (0.500, 0.500, 0.500)
Ir (0.249, 0.249, 0.249)
Ir (0.751, 0.751, 0.751)

- calculated formation energy (eV per atom) = 0.06
- crystal system = trigonal

---

[6]
Here is a relaxed structure of BeSbP3 from Alexandria. Energies are from PBE.

Cell lengths 4.382, 4.382, 4.382 Å; angles 90.00, 90.00, 90.00 degrees
Atoms (fractional coordinates):
Be (0.000, 0.000, 0.000)
Sb (0.500, 0.500, 0.500)
P (0.000, 0.000, 0.500)
P (0.000, 0.500, 0.000)
P (0.500, 0.000, 0.000)

- formation energy without anion corrections (eV per formula unit) = 3.0
- crystal system = cubic
- relative energy among the computed polymorphs (meV per atom) = 0

---

[7]
Here is a relaxed structure of TeP2Pb from Alexandria. Energies are from PBE.

Cell lengths 5.070, 5.070, 5.070 Å; angles 60.00, 60.00, 60.00 degrees
Atoms (fractional coordinates):
Te (0.000, 0.000, 0.000)
P (0.250, 0.250, 0.250)
P (0.500, 0.500, 0.500)
Pb (0.750, 0.750, 0.750)

- formation energy without anion corrections (eV per formula unit) = 2.7
- crystal system = cubic
- relative energy among the computed polymorphs (meV per atom) = 575

---

[8]
Here is a relaxed structure of Nd2Mg3Pd2 from Alexandria. Energies are from PBE.

Cell lengths 5.709, 5.709, 7.665 Å; angles 95.56, 95.56, 42.14 degrees
Atoms (fractional coordinates):
Nd (0.125, 0.125, 0.352)
Nd (0.875, 0.875, 0.648)
Mg (0.182, 0.182, 0.865)
Mg (0.500, 0.500, 0.000)
Mg (0.818, 0.818, 0.135)
Pd (0.409, 0.409, 0.349)
Pd (0.591, 0.591, 0.651)

- calculated formation energy (eV per atom) = -0.51
- crystal system = monoclinic
- relative energy among the computed polymorphs (meV per atom) = 50

---

[9]
Here is a relaxed structure of Ho6GaRu from Alexandria. Energies are from PBE.

Cell lengths 6.592, 6.592, 6.623 Å; angles 101.78, 101.78, 118.32 degrees
Atoms (fractional coordinates):
Ho (0.049, 0.425, 0.245)
Ho (0.239, 0.239, 0.762)
Ho (0.425, 0.049, 0.245)
Ho (0.575, 0.951, 0.755)
Ho (0.761, 0.761, 0.238)
Ho (0.951, 0.575, 0.755)
Ga (0.500, 0.500, 0.500)
Ru (0.000, 0.000, 0.000)

- calculated formation energy (eV per atom) = -0.10
- crystal system = monoclinic

---

[10]
Here is a relaxed structure of Li2VCrN4 from Alexandria. Energies are from PBE.

Cell lengths 5.364, 5.364, 5.364 Å; angles 128.78, 128.78, 75.37 degrees
Atoms (fractional coordinates):
Li (0.000, 0.000, 0.000)
Li (0.750, 0.250, 0.500)
V (0.500, 0.500, 0.000)
Cr (0.250, 0.750, 0.500)
N (0.185, 0.118, 0.555)
N (0.371, 0.815, 0.933)
N (0.562, 0.629, 0.445)
N (0.882, 0.438, 0.067)

- formation energy without anion corrections (eV per formula unit) = -5.1
- crystal system = tetragonal

---

[11]
Here is a relaxed structure of Ta3Cu from Alexandria. Energies are from PBE.

Cell lengths 2.791, 2.791, 8.869 Å; angles 90.00, 90.00, 102.86 degrees
Atoms (fractional coordinates):
Ta (0.000, 0.000, 0.000)
Ta (0.500, 0.500, 0.266)
Ta (0.500, 0.500, 0.734)
Cu (0.000, 0.000, 0.500)

- calculated formation energy (eV per atom) = 0.06
- crystal system = orthorhombic

---

[12]
Here is a relaxed structure of MgInTc3 from Alexandria. Energies are from PBE.

Cell lengths 4.579, 4.579, 4.579 Å; angles 90.00, 90.00, 90.00 degrees
Atoms (fractional coordinates):
Mg (0.000, 0.000, 0.000)
In (0.500, 0.500, 0.500)
Tc (0.000, 0.000, 0.500)
Tc (0.000, 0.500, 0.000)
Tc (0.500, 0.000, 0.000)

- calculated formation energy (eV per atom) = 1.74
- crystal system = cubic
- relative energy among the computed polymorphs (meV per atom) = 0

---

no.,theoretical density (Mg/m³),spin magnetization (Bohr magnetons per cell)
1,10.46,0.0
2,7.60,0.0
3,5.59,0.0
4,5.00,0.0
5,14.32,3.6
6,4.41,0.0
7,7.15,0.0
8,5.72,0.0
9,8.29,0.0
10,3.14,1.0
11,14.95,0.0
12,7.49,4.1